1.
A plane-wave DFT calculation with PBE was carried out for a relaxed structure of LaTb5Ho4.

Values from the calculation:
The formation enthalpy at 0 K is 0.299 eV/atom. For the total energy, the calculation gives -4.34 eV per atom. For the energy relative to the lowest polymorph listed for this composition, the calculation gives 114 meV/atom. Its volume is 32.85 Å³ per atom.

a b c (Å): 7.882 7.882 7.882
angles (deg): 99.16 99.16 132.96
Atoms (fractional coordinates):
La 0.000 0.000 0.000
Tb 0.040 0.128 0.620
Tb 0.128 0.508 0.088
Tb 0.420 0.040 0.912
Tb 0.508 0.420 0.380
Tb 0.542 0.542 0.000
Ho 0.118 0.818 0.401
Ho 0.417 0.717 0.599
Ho 0.717 0.118 0.300
Ho 0.818 0.417 0.700

2.
A plane-wave DFT calculation with PBE was carried out for a relaxed structure of La12Tb2Ho5.

Values from the calculation:
The formation enthalpy at 0 K is 0.154 eV/atom. For the total energy, the calculation gives -4.65 eV per atom. For the energy relative to the lowest polymorph listed for this composition, the calculation gives 55 meV/atom. Its volume is 34.88 Å³ per atom.

a b c (Å): 10.474 10.474 10.061
angles (deg): 115.74 115.74 42.76
Atoms (fractional coordinates):
La 0.001 0.001 0.296
La 0.067 0.606 0.008
La 0.089 0.590 0.655
La 0.394 0.933 0.992
La 0.410 0.911 0.345
La 0.484 0.484 0.144
La 0.516 0.516 0.856
La 0.590 0.089 0.655
La 0.606 0.067 0.008
La 0.911 0.410 0.345
La 0.933 0.394 0.992
La 0.999 0.999 0.704
Tb 0.301 0.699 0.500
Tb 0.699 0.301 0.500
Ho 0.000 0.000 0.000
Ho 0.174 0.174 0.669
Ho 0.321 0.321 0.309
Ho 0.679 0.679 0.691
Ho 0.826 0.826 0.331

3.
A plane-wave DFT calculation with PBE was carried out for a relaxed structure of La4Tb4Ho.

Values from the calculation:
The formation enthalpy at 0 K is 0.026 eV/atom. For the total energy, the calculation gives -4.73 eV per atom. For the energy relative to the lowest polymorph listed for this composition, the calculation gives 0 meV/atom. Its volume is 34.03 Å³ per atom.

a b c (Å): 8.124 8.124 8.124
angles (deg): 95.79 95.79 142.95
Atoms (fractional coordinates):
La 0.167 0.167 0.334
La 0.167 0.833 0.000
La 0.833 0.167 0.000
La 0.833 0.833 0.666
Tb 0.164 0.500 0.664
Tb 0.500 0.164 0.664
Tb 0.500 0.836 0.336
Tb 0.836 0.500 0.336
Ho 0.500 0.500 0.000

4.
A plane-wave DFT calculation with PBE was carried out for a relaxed structure of La4TbHo7.

Values from the calculation:
The formation enthalpy at 0 K is 0.269 eV/atom. For the total energy, the calculation gives -4.43 eV per atom. Its volume is 34.49 Å³ per atom.

a b c (Å): 6.746 6.746 12.867
angles (deg): 113.66 113.66 52.20
Atoms (fractional coordinates):
La 0.089 0.089 0.291
La 0.362 0.362 0.225
La 0.638 0.638 0.775
La 0.911 0.911 0.709
Tb 0.500 0.500 0.000
Ho 0.000 0.000 0.000
Ho 0.168 0.168 0.631
Ho 0.211 0.211 0.919
Ho 0.368 0.368 0.513
Ho 0.632 0.632 0.487
Ho 0.789 0.789 0.081
Ho 0.832 0.832 0.369

5.
A plane-wave DFT calculation with PBE was carried out for a relaxed structure of La2Tb6Ho5.

Values from the calculation:
The formation enthalpy at 0 K is 0.101 eV/atom. For the total energy, the calculation gives -4.55 eV per atom. Its volume is 33.03 Å³ per atom.

a b c (Å): 11.754 20.283 3.603
angles (deg): 90.00 90.00 90.00
Atoms (fractional coordinates):
La 0.167 0.220 0.000
La 0.333 0.720 0.000
La 0.667 0.280 0.000
La 0.833 0.780 0.000
Tb 0.060 0.924 0.000
Tb 0.078 0.637 0.000
Tb 0.180 0.378 0.500
Tb 0.320 0.878 0.500
Tb 0.422 0.137 0.000
Tb 0.440 0.424 0.000
Tb 0.560 0.576 0.000
Tb 0.578 0.863 0.000
Tb 0.680 0.122 0.500
Tb 0.820 0.622 0.500
Tb 0.922 0.363 0.000
Tb 0.940 0.076 0.000
Ho 0.000 0.500 0.500
Ho 0.095 0.781 0.500
Ho 0.200 0.053 0.500
Ho 0.300 0.553 0.500
Ho 0.405 0.281 0.500
Ho 0.500 0.000 0.500
Ho 0.595 0.719 0.500
Ho 0.700 0.447 0.500
Ho 0.800 0.947 0.500
Ho 0.905 0.219 0.500

6.
A plane-wave DFT calculation with PBE was carried out for a relaxed structure of La2Tb8Ho.

Values from the calculation:
The formation enthalpy at 0 K is 0.179 eV/atom. For the total energy, the calculation gives -4.50 eV per atom. For the energy relative to the lowest polymorph listed for this composition, the calculation gives 154 meV/atom. Its volume is 34.34 Å³ per atom.

a b c (Å): 10.095 10.095 5.652
angles (deg): 92.45 92.45 41.04
Atoms (fractional coordinates):
La 0.216 0.216 0.257
La 0.784 0.784 0.743
Tb 0.044 0.044 0.236
Tb 0.106 0.640 0.264
Tb 0.317 0.317 0.768
Tb 0.360 0.894 0.736
Tb 0.640 0.106 0.264
Tb 0.683 0.683 0.232
Tb 0.894 0.360 0.736
Tb 0.956 0.956 0.764
Ho 0.500 0.500 0.000

7.
A plane-wave DFT calculation with PBE was carried out for a relaxed structure of La5Tb2Ho6.

Values from the calculation:
The formation enthalpy at 0 K is 0.095 eV/atom. For the total energy, the calculation gives -4.63 eV per atom. Its volume is 33.89 Å³ per atom.

a b c (Å): 11.700 20.759 3.628
angles (deg): 90.00 90.00 90.00
Atoms (fractional coordinates):
La 0.000 0.000 0.000
La 0.078 0.272 0.000
La 0.200 0.548 0.000
La 0.300 0.048 0.000
La 0.422 0.772 0.000
La 0.500 0.500 0.000
La 0.578 0.228 0.000
La 0.700 0.952 0.000
La 0.800 0.452 0.000
La 0.922 0.728 0.000
Tb 0.175 0.711 0.500
Tb 0.325 0.211 0.500
Tb 0.675 0.789 0.500
Tb 0.825 0.289 0.500
Ho 0.062 0.418 0.500
Ho 0.079 0.131 0.500
Ho 0.177 0.861 0.000
Ho 0.323 0.361 0.000
Ho 0.421 0.631 0.500
Ho 0.438 0.918 0.500
Ho 0.562 0.082 0.500
Ho 0.579 0.369 0.500
Ho 0.677 0.639 0.000
Ho 0.823 0.139 0.000
Ho 0.921 0.869 0.500
Ho 0.938 0.582 0.500

8.
A plane-wave DFT calculation with PBE was carried out for a relaxed structure of La2TbHo2.

Values from the calculation:
The formation enthalpy at 0 K is 0.240 eV/atom. For the total energy, the calculation gives -4.49 eV per atom. For the energy relative to the lowest polymorph listed for this composition, the calculation gives 0 meV/atom. Its volume is 35.06 Å³ per atom.

a b c (Å): 6.543 6.543 8.934
angles (deg): 105.29 105.29 95.24
Atoms (fractional coordinates):
La 0.073 0.248 0.140
La 0.248 0.073 0.640
La 0.752 0.927 0.360
La 0.927 0.752 0.860
Tb 0.207 0.793 0.250
Tb 0.793 0.207 0.750
Ho 0.000 0.500 0.500
Ho 0.500 0.000 0.000
Ho 0.500 0.500 0.000
Ho 0.500 0.500 0.500

9.
A plane-wave DFT calculation with PBE was carried out for a relaxed structure of La5TbHo3.

Values from the calculation:
The formation enthalpy at 0 K is 0.245 eV/atom. For the total energy, the calculation gives -4.53 eV per atom. For the energy relative to the lowest polymorph listed for this composition, the calculation gives 0 meV/atom. Its volume is 36.03 Å³ per atom.

a b c (Å): 10.074 10.074 11.549
angles (deg): 114.55 114.55 38.02
Atoms (fractional coordinates):
La 0.029 0.640 0.289
La 0.099 0.901 0.750
La 0.150 0.504 0.640
La 0.360 0.971 0.211
La 0.496 0.850 0.860
La 0.504 0.150 0.140
La 0.640 0.029 0.789
La 0.850 0.496 0.360
La 0.901 0.099 0.250
La 0.971 0.360 0.711
Tb 0.371 0.629 0.250
Tb 0.629 0.371 0.750
Ho 0.054 0.626 0.986
Ho 0.374 0.946 0.514
Ho 0.500 0.500 0.000
Ho 0.500 0.500 0.500
Ho 0.626 0.054 0.486
Ho 0.946 0.374 0.014

10.
A plane-wave DFT calculation with PBE was carried out for a relaxed structure of La2TbHo2.

Values from the calculation:
The formation enthalpy at 0 K is 0.498 eV/atom. For the total energy, the calculation gives -4.23 eV per atom. For the energy relative to the lowest polymorph listed for this composition, the calculation gives 258 meV/atom. Its volume is 36.04 Å³ per atom.

a b c (Å): 8.157 8.157 8.157
angles (deg): 98.86 98.86 133.79
Atoms (fractional coordinates):
La 0.110 0.610 0.720
La 0.390 0.110 0.500
La 0.610 0.890 0.500
La 0.890 0.390 0.280
Tb 0.250 0.250 0.000
Tb 0.750 0.750 0.000
Ho 0.190 0.310 0.500
Ho 0.310 0.810 0.120
Ho 0.690 0.190 0.880
Ho 0.810 0.690 0.500

11.
A plane-wave DFT calculation with PBE was carried out for a relaxed structure of LaTb7Ho5.

Values from the calculation:
The formation enthalpy at 0 K is 0.242 eV/atom. For the total energy, the calculation gives -4.39 eV per atom. Its volume is 33.30 Å³ per atom.

a b c (Å): 8.726 8.726 8.726
angles (deg): 135.16 99.87 96.86
Atoms (fractional coordinates):
La 0.000 0.000 0.000
Tb 0.222 0.553 0.669
Tb 0.298 0.298 0.000
Tb 0.379 0.050 0.328
Tb 0.606 0.606 0.000
Tb 0.722 0.050 0.672
Tb 0.794 0.294 0.500
Tb 0.884 0.553 0.331
Ho 0.032 0.037 0.469
Ho 0.032 0.563 0.995
Ho 0.305 0.805 0.500
Ho 0.568 0.037 0.005
Ho 0.568 0.563 0.531

12.
A plane-wave DFT calculation with PBE was carried out for a relaxed structure of La4TbHo4.

Values from the calculation:
The formation enthalpy at 0 K is 0.030 eV/atom. For the total energy, the calculation gives -4.71 eV per atom. For the energy relative to the lowest polymorph listed for this composition, the calculation gives 0 meV/atom. Its volume is 33.73 Å³ per atom.

a b c (Å): 8.101 8.101 8.101
angles (deg): 95.79 95.79 142.97
Atoms (fractional coordinates):
La 0.167 0.167 0.334
La 0.167 0.833 0.000
La 0.833 0.167 0.000
La 0.833 0.833 0.666
Tb 0.500 0.500 0.000
Ho 0.163 0.500 0.663
Ho 0.500 0.163 0.663
Ho 0.500 0.837 0.337
Ho 0.837 0.500 0.337